VASP calculation (PBE) on a relaxed KSrV crystal.

Values from the calculation:
For the energy relative to the elements, the calculation gives 1.9 eV per formula unit. The calculated density comes out at 2.35 g/cm3. The value obtained for the magnetization is 0.00 μB per cell. As for the total energy: -19.94 eV per cell. As for the space group: No. 12. The calculation puts the energy above the most stable polymorph in this dataset at 0.533 eV per formula unit.

a b c (Å): 5.9482 5.9482 8.8809
angles (deg): 109.50 109.50 60.16
With the nearest neighbours (Å) after each atom.
Element x y z (fractional)
K: 0.1997 0.1997 0.0980  3 K 3.79-3.80, 4 V 3.99-4.19, 4 Sr 4.15-4.22
K: 0.8003 0.8003 0.9020  3 K 3.79-3.80, 4 V 3.99-4.19, 4 Sr 4.15-4.22
Sr: 0.3676 0.3676 0.6041  3 V 3.44, 3 Sr 3.84
Sr: 0.6324 0.6324 0.3959  3 V 3.44, 3 Sr 3.84
V: 0.0363 0.0363 0.6110  1 V 1.82
V: 0.9637 0.9637 0.3890  1 V 1.82

=====

VASP calculation (PBE) on a relaxed LiTaCu2 crystal.

Values from the calculation:
For the energy relative to the elements, the calculation gives 0.7 eV per formula unit. The calculated density comes out at 9.00 g/cm3. The value obtained for the magnetization is 0.00 μB per cell. As for the total energy: -21.24 eV per cell. As for the space group: No. 99.

a b c (Å): 2.6978 2.6978 7.9834
angles (deg): 90.00 90.00 90.00
With the nearest neighbours (Å) after each atom.
Element x y z (fractional)
Li: 0.0000 0.0000 0.0000  4 Cu 2.67, 4 Li 2.70
Ta: 0.5000 0.5000 0.3061  4 Ta 2.70, 4 Cu 2.77
Cu: 0.0000 0.0000 0.5572  8 Cu 2.54-2.70, 4 Ta 2.77
Cu: 0.5000 0.5000 0.7666  8 Cu 2.54-2.70, 4 Li 2.67

=====

VASP calculation (PBE) on a relaxed Hf2MgSe crystal.

Values from the calculation:
The calculated density comes out at 8.71 g/cm3. The value obtained for the magnetization is 0.00 μB per cell. For the uncorrected formation energy, the calculation gives 0.094 eV per atom. As for the total energy: -49.22 eV per cell. As for the space group: No. 122. The calculation puts the energy above the most stable polymorph in this dataset at 0.464 eV per formula unit.

a b c (Å): 10.8616 10.8616 10.8616
angles (deg): 158.27 158.27 30.92
With the nearest neighbours (Å) after each atom.
Element x y z (fractional)
Hf: 0.1182 0.6250 0.9932  4 Hf 2.86-2.94, 2 Se 2.98, 2 Mg 3.00
Hf: 0.3750 0.3682 0.4932  4 Hf 2.86-2.94, 2 Se 2.98, 2 Mg 3.00
Hf: 0.6318 0.1250 0.0068  4 Hf 2.86-2.94, 2 Se 2.98, 2 Mg 3.00
Hf: 0.8750 0.8818 0.5068  4 Hf 2.86-2.94, 2 Se 2.98, 2 Mg 3.00
Mg: 0.2500 0.7500 0.5000  4 Se 2.90, 4 Hf 3.00
Mg: 0.5000 0.5000 0.0000  4 Se 2.90, 4 Hf 3.00
Se: 0.0000 0.0000 0.0000  4 Mg 2.90, 4 Hf 2.98
Se: 0.7500 0.2500 0.5000  4 Mg 2.90, 4 Hf 2.98

=====

VASP calculation (PBE) on a relaxed GaFe3H crystal.

Values from the calculation:
The calculated density comes out at 7.19 g/cm3. The value obtained for the magnetization is 14.04 μB per cell. As for the total energy: -61.83 eV per cell. As for the space group: No. 119.

a b c (Å): 5.7928 5.7928 5.7928
angles (deg): 130.43 130.43 72.72
With the nearest neighbours (Å) after each atom.
Element x y z (fractional)
Ga: 0.1437 0.1437 0.0000  8 Fe 2.44-2.72, 2 H 2.62, 1 Ga 2.68
Ga: 0.8563 0.8563 0.0000  8 Fe 2.44-2.72, 2 H 2.62, 1 Ga 2.68
Fe: 0.1189 0.6189 0.5000  2 Ga 2.44, 7 Fe 2.45-2.72, 2 H 2.67
Fe: 0.1277 0.3810 0.7467  2 H 1.66-1.71
Fe: 0.3811 0.8811 0.5000  2 Ga 2.44, 7 Fe 2.45-2.72, 2 H 2.67
Fe: 0.6190 0.3657 0.7467  2 H 1.66-1.71
Fe: 0.6190 0.8723 0.2533  2 H 1.66-1.71
Fe: 0.6343 0.3810 0.2533  2 H 1.66-1.71
H: 0.5000 0.5000 0.0000  4 Fe 1.66
H: 0.7500 0.2500 0.5000  4 Fe 1.71

=====

VASP calculation (PBE) on a relaxed RbAg4Hg crystal.

Values from the calculation:
For the energy relative to the elements, the calculation gives 0.5 eV per formula unit. The calculated density comes out at 8.43 g/cm3. The value obtained for the magnetization is 0.00 μB per cell. As for the total energy: -12.21 eV per cell. As for the space group: No. 216.

a b c (Å): 5.8472 5.8472 5.8472
angles (deg): 60.00 60.00 60.00
With the nearest neighbours (Å) after each atom.
Element x y z (fractional)
Rb: 0.0000 0.0000 0.0000  12 Ag 3.43, 4 Hg 3.58
Ag: 0.3759 0.3759 0.3759  6 Ag 2.90-2.94
Ag: 0.3759 0.3759 0.8724  6 Ag 2.90-2.94
Ag: 0.3759 0.8724 0.3759  6 Ag 2.90-2.94
Ag: 0.8724 0.3759 0.3759  6 Ag 2.90-2.94
Hg: 0.7500 0.7500 0.7500  12 Ag 3.43, 4 Rb 3.58

=====

VASP calculation (PBE) on a relaxed K2TaRh crystal.

Values from the calculation:
For the energy relative to the elements, the calculation gives 4.5 eV per formula unit. The calculated density comes out at 3.36 g/cm3. The value obtained for the magnetization is 3.85 μB per cell. As for the total energy: -33.80 eV per cell. As for the space group: No. 122. The calculation puts the energy above the most stable polymorph in this dataset at 2.931 eV per formula unit.

a b c (Å): 9.0160 9.0160 9.0160
angles (deg): 93.93 93.93 149.66
With the nearest neighbours (Å) after each atom.
Element x y z (fractional)
K: 0.3750 0.0336 0.1586  2 Rh 3.33, 2 Ta 3.72
K: 0.7836 0.6250 0.6586  2 Rh 3.33, 2 Ta 3.72
K: 0.8750 0.2164 0.8414  2 Rh 3.33, 2 Ta 3.72
K: 0.9664 0.1250 0.3414  2 Rh 3.33, 2 Ta 3.72
Ta: 0.2500 0.7500 0.5000  2 Rh 2.36
Ta: 0.5000 0.5000 0.0000  2 Rh 2.36
Rh: 0.0000 0.0000 0.0000  2 Ta 2.36
Rh: 0.7500 0.2500 0.5000  2 Ta 2.36

=====

VASP calculation (PBE) on a relaxed Rb2InBi3Pb4 crystal.

Values from the calculation:
For the energy relative to the elements, the calculation gives -1.4 eV per formula unit. The calculated density comes out at 7.30 g/cm3. The value obtained for the magnetization is 0.00 μB per cell. As for the total energy: -32.59 eV per cell. As for the space group: No. 115.

a b c (Å): 5.3598 5.3598 13.7909
angles (deg): 90.00 90.00 90.00
With the nearest neighbours (Å) after each atom.
Element x y z (fractional)
Rb: 0.0000 0.5000 0.2403  8 Pb 4.10-4.47, 6 Bi 4.13-4.26, 2 In 4.26
Rb: 0.5000 0.0000 0.7597  8 Pb 4.10-4.47, 6 Bi 4.13-4.26, 2 In 4.26
In: 0.5000 0.5000 0.0000  4 Pb 3.20
Bi: 0.0000 0.0000 0.0000  4 Pb 3.20
Bi: 0.0000 0.5000 0.6403  5 Pb 3.22-3.31
Bi: 0.5000 0.0000 0.3597  5 Pb 3.22-3.31
Pb: 0.0000 0.0000 0.5000  4 Bi 3.31
Pb: 0.0000 0.5000 0.8736  2 In 3.20, 3 Bi 3.20-3.22
Pb: 0.5000 0.0000 0.1264  2 In 3.20, 3 Bi 3.20-3.22
Pb: 0.5000 0.5000 0.5000  4 Bi 3.31

=====

VASP calculation (PBE) on a relaxed Nd4GeSbS2 crystal.

Values from the calculation:
The calculated density comes out at 6.34 g/cm3. The value obtained for the magnetization is 0.00 μB per cell. For the uncorrected formation energy, the calculation gives -1.512 eV per atom. As for the total energy: -48.17 eV per cell. As for the space group: No. 10.

a b c (Å): 7.3280 4.2669 7.4234
angles (deg): 90.00 109.56 90.00
With the nearest neighbours (Å) after each atom.
Element x y z (fractional)
Nd: 0.2384 0.0000 0.2356  3 S 2.94-3.03, 1 Ge 3.00, 2 Sb 3.09
Nd: 0.2445 0.5000 0.7569  3 S 2.94-3.02, 2 Ge 3.01, 1 Sb 3.09
Nd: 0.7555 0.5000 0.2431  3 S 2.94-3.02, 2 Ge 3.01, 1 Sb 3.09
Nd: 0.7616 0.0000 0.7644  3 S 2.94-3.03, 1 Ge 3.00, 2 Sb 3.09
Ge: 0.5000 0.0000 0.0000  6 Nd 3.00-3.01
Sb: 0.5000 0.5000 0.5000  6 Nd 3.09
S: 0.0000 0.0000 0.5000  6 Nd 3.02-3.03
S: 0.0000 0.5000 0.0000  6 Nd 2.94